[1]
Density functional theory data (GGA-PBE) for crystalline Sc2AlSb at its relaxed geometry.

a = 3.6791 Å, b = 3.6791 Å, c = 24.0520 Å
α = 90.00°, β = 90.00°, γ = 120.00°
Space group R-3m (No. 166, hexagonal axes)
Unique sites:
1 Sc 0.0000 0.0000 0.2490 x6
2 Al 0.0000 0.0000 0.5000 x3
3 Sb 0.0000 0.0000 0.0000 x3

Values from the calculation:
The volume is 94.0 Å³/f.u. For the density of states at the Fermi level, the calculation gives 0.813 states/eV/atom. As for the formation energy (no corrections): -406 meV per atom. Its total magnetization is 0.000 μB per cell. The calculation puts the energy above the most stable polymorph in this dataset at 0.84 eV per formula unit.

=====

[2]
Density functional theory data (GGA-PBE) for crystalline Mg2NiAs2 at its relaxed geometry.

a = 6.570 Å, b = 6.570 Å, c = 4.098 Å
α = 90.00°, β = 90.00°, γ = 90.00°
Space group P4/mbm (No. 127)
Unique sites:
1 Mg 0.166 0.334 0.000 x4
2 Ni 0.000 0.000 0.500 x2
3 As 0.152 0.652 0.500 x4

Values from the calculation:
The volume is 88.4 Å³/f.u. For the density of states at the Fermi level, the calculation gives 0.226 states/eV/atom. Its total magnetization is 0.000 μB per cell. The formation energy is -0.264 eV per atom.

=====

[3]
Density functional theory data (GGA-PBE) for crystalline PuScU at its relaxed geometry.

a = 3.488 Å, b = 4.746 Å, c = 7.854 Å
α = 90.00°, β = 100.51°, γ = 90.00°
Space group P2_1/m (No. 11)
Unique sites:
1 Pu 0.076 0.250 0.146 x2
2 Sc 0.246 0.750 0.543 x2
3 U 0.384 0.750 0.154 x2

Values from the calculation:
The volume is 63.9 Å³/f.u. For the density of states at the Fermi level, the calculation gives 2.237 states/eV/atom. Its total magnetization is 6.595 μB per cell. The formation energy is 0.192 eV per atom. The calculation puts the energy above the most stable polymorph in this dataset at 0.00 eV per formula unit.

=====

[4]
Density functional theory data (GGA-PBE) for crystalline CePm2Ir at its relaxed geometry.

a = 3.8328 Å, b = 3.8328 Å, c = 31.8590 Å
α = 90.00°, β = 90.00°, γ = 120.00°
Space group R-3m (No. 166, hexagonal axes)
Unique sites:
1 Ce 0.0000 0.0000 0.0000 x3
2 Pm 0.0000 0.0000 0.1128 x6
3 Ir 0.0000 0.0000 0.5000 x3

Values from the calculation:
The volume is 135.1 Å³/f.u. For the density of states at the Fermi level, the calculation gives 2.214 states/eV/atom. Its total magnetization is 6.274 μB per cell. The formation energy is -0.016 eV per atom. The calculation puts the energy above the most stable polymorph in this dataset at 1.73 eV per formula unit.

=====

[5]
Density functional theory data (GGA-PBE) for crystalline Rb4TlAu at its relaxed geometry.

a = 16.972 Å, b = 16.972 Å, c = 16.972 Å
α = 90.00°, β = 90.00°, γ = 90.00°
Space group F-43m (No. 216)
Unique sites:
1 Rb 0.000 0.000 0.198 x24
2 Rb 0.049 0.250 0.250 x24
3 Rb 0.101 0.101 0.601 x16
4 Tl 0.178 0.178 0.822 x16
5 Au 0.108 0.108 0.392 x16

Values from the calculation:
The volume is 305.5 Å³/f.u. For the density of states at the Fermi level, the calculation gives 0.521 states/eV/atom. Its total magnetization is 0.000 μB per cell. The formation energy is -0.130 eV per atom.

=====

[6]
Density functional theory data (GGA-PBE) for crystalline UPd5Rh2 at its relaxed geometry.

a = 5.799 Å, b = 11.436 Å, c = 3.870 Å
α = 90.00°, β = 90.00°, γ = 90.00°
Space group Pbam (No. 55)
Unique sites:
1 U 0.000 0.000 0.000 x2
2 Pd 0.000 0.500 0.000 x2
3 Pd 0.027 0.251 0.000 x4
4 Pd 0.226 0.630 0.500 x4
5 Rh 0.218 0.884 0.500 x4

Values from the calculation:
The volume is 128.3 Å³/f.u. For the density of states at the Fermi level, the calculation gives 1.039 states/eV/atom. Its total magnetization is 0.000 μB per cell. The formation energy is -0.362 eV per atom.

=====

[7]
Density functional theory data (GGA-PBE) for crystalline TbPm2PrSm at its relaxed geometry.

a = 8.373 Å, b = 6.687 Å, c = 6.290 Å
α = 90.00°, β = 92.45°, γ = 90.00°
Space group P2/c (No. 13)
Unique sites:
1 Tb 0.000 0.162 0.250 x2
2 Pm 0.192 0.308 0.765 x4
3 Pr 0.500 0.000 0.000 x2
4 Sm 0.500 0.429 0.250 x2

Values from the calculation:
The volume is 175.9 Å³/f.u. For the density of states at the Fermi level, the calculation gives 1.301 states/eV/atom. Its total magnetization is 0.000 μB per cell. The formation energy is 0.266 eV per atom.

=====

[8]
Density functional theory data (GGA-PBE) for crystalline Fe2CoOs at its relaxed geometry.

a = 8.441 Å, b = 2.588 Å, c = 4.415 Å
α = 90.00°, β = 100.10°, γ = 90.00°
Space group C2/m (No. 12)
Unique sites:
1 Fe 0.248 0.000 0.244 x4
2 Co 0.000 0.500 0.000 x2
3 Os 0.000 0.000 0.500 x2

Values from the calculation:
The volume is 47.5 Å³/f.u. For the density of states at the Fermi level, the calculation gives 0.915 states/eV/atom. Its total magnetization is 8.748 μB per cell. The formation energy is 0.120 eV per atom.

=====

[9]
Density functional theory data (GGA-PBE) for crystalline Ac6Pt2AuI2 at its relaxed geometry.

a = 7.920 Å, b = 13.523 Å, c = 8.616 Å
α = 90.00°, β = 106.79°, γ = 90.00°
Space group C2/m (No. 12)
Unique sites:
1 Ac 0.211 0.000 0.196 x4
2 Ac 0.239 0.332 0.196 x8
3 Pt 0.000 0.169 0.000 x4
4 Au 0.000 0.500 0.000 x2
5 I 0.000 0.336 0.500 x4

Values from the calculation:
The volume is 441.7 Å³/f.u. For the density of states at the Fermi level, the calculation gives 0.729 states/eV/atom. As for the formation energy (no corrections): -965 meV per atom. Its total magnetization is 0.000 μB per cell.

=====

[10]
Density functional theory data (GGA-PBE) for crystalline Dy2ErIr at its relaxed geometry.

a = 7.199 Å, b = 9.276 Å, c = 6.364 Å
α = 90.00°, β = 90.00°, γ = 90.00°
Space group Pnma (No. 62)
Unique sites:
1 Dy 0.178 0.063 0.175 x8
2 Er 0.035 0.250 0.632 x4
3 Ir 0.116 0.750 0.957 x4

Values from the calculation:
The volume is 106.2 Å³/f.u. For the density of states at the Fermi level, the calculation gives 1.027 states/eV/atom. Its total magnetization is 0.000 μB per cell. The formation energy is -0.590 eV per atom. The calculation puts the energy above the most stable polymorph in this dataset at 0.00 eV per formula unit.

=====

[11]
Density functional theory data (GGA-PBE) for crystalline CaGa2SnAu4 at its relaxed geometry.

a = 4.4241 Å, b = 4.4241 Å, c = 30.2034 Å
α = 90.00°, β = 90.00°, γ = 120.00°
Space group R-3m (No. 166, hexagonal axes)
Unique sites:
1 Ca 0.0000 0.0000 0.0000 x3
2 Ga 0.0000 0.0000 0.2590 x6
3 Sn 0.0000 0.0000 0.5000 x3
4 Au 0.0000 0.0000 0.1175 x6
5 Au 0.0000 0.0000 0.3945 x6

Values from the calculation:
The volume is 170.7 Å³/f.u. For the density of states at the Fermi level, the calculation gives 0.466 states/eV/atom. Its total magnetization is 0.000 μB per cell. The formation energy is -0.363 eV per atom.

=====

[12]
Density functional theory data (GGA-PBE) for crystalline Mn2AlRu at its relaxed geometry.

a = 2.656 Å, b = 4.008 Å, c = 5.008 Å
α = 90.00°, β = 104.12°, γ = 90.00°
Space group Pm (No. 6)
Unique sites:
1 Mn 0.000 0.000 0.000 x1
2 Mn 0.043 0.500 0.767 x1
3 Al 0.369 0.000 0.517 x1
4 Ru 0.688 0.500 0.258 x1

Values from the calculation:
The volume is 51.7 Å³/f.u. For the density of states at the Fermi level, the calculation gives 0.776 states/eV/atom. Its total magnetization is 0.070 μB per cell. The formation energy is -0.107 eV per atom.